No. 1
Computed, not measured: a PBEsol-optimized structure of SrBi2IrI at the meta-GGA SCAN level of DFT.

## Properties
E_tot   -57.491 eV/atom
Formation energy without anion corrections   -0.0362 eV per atom
DOS at the Fermi energy   0.963 states/eV/atom
Crystal system   tetragonal

a b c (Å): 5.2984 5.2984 5.6947
angles (deg): 90.00 90.00 90.00
Positions (direct):
Bi  0.0000  0.5000  0.0000
Bi  0.5000  0.0000  0.0000
I  0.0000  0.0000  0.5000
Ir  0.0000  0.0000  0.0000
Sr  0.5000  0.5000  0.5000

=====

No. 2
Computed, not measured: a PBEsol-optimized structure of K2BiI at the meta-GGA SCAN level of DFT.

## Properties
E_tot   -33.556 eV/atom
Formation energy without anion corrections   -0.5610 eV per atom
DOS at the Fermi energy   0.523 states/eV/atom
Crystal system   tetragonal

a b c (Å): 6.9697 7.5632 7.5632
angles (deg): 77.74 62.56 62.56
Positions (direct):
Bi  0.7500  0.5000  0.5000
Bi  0.0000  0.0000  0.0000
K  0.1396  0.4854  0.9854
K  0.8750  0.9854  0.5146
K  0.6104  0.5146  0.0146
K  0.3750  0.0146  0.4854
I  0.5000  0.0000  0.0000
I  0.2500  0.5000  0.5000

=====

No. 3
Computed, not measured: a PBEsol-optimized structure of KBiI3 at the meta-GGA SCAN level of DFT.

## Properties
E_tot   -39.320 eV/atom
Formation energy without anion corrections   0.1071 eV per atom
DOS at the Fermi energy   0.388 states/eV/atom
Crystal system   cubic

a b c (Å): 6.0786 6.0786 6.0786
angles (deg): 90.00 90.00 90.00
Positions (direct):
I  0.0000  0.0000  0.5000
I  0.5000  0.0000  0.0000
I  0.0000  0.5000  0.0000
K  0.0000  0.0000  0.0000
Bi  0.5000  0.5000  0.5000

=====

No. 4
Computed, not measured: a PBEsol-optimized structure of K3Bi2I9 at the meta-GGA SCAN level of DFT.

## Properties
E_tot   -37.561 eV/atom
Formation energy without anion corrections   -0.9307 eV per atom
DOS at the Fermi energy   0.000 states/eV/atom
Crystal system   monoclinic

a b c (Å): 8.2968 8.2968 20.9857
angles (deg): 92.97 92.97 121.37
Positions (direct):
K  0.2919  0.7479  0.0648
K  0.9497  0.0503  0.2500
K  0.7081  0.2521  0.9352
K  0.2521  0.7081  0.4352
K  0.7479  0.2919  0.5648
K  0.0503  0.9497  0.7500
I  0.5981  0.7728  0.9511
I  0.9434  0.2740  0.0876
I  0.0039  0.5076  0.2805
I  0.5076  0.0039  0.7805
I  0.4912  0.5088  0.2500
I  0.0566  0.7260  0.9124
I  0.7728  0.5981  0.4511
I  0.2740  0.9434  0.5876
I  0.7260  0.0566  0.4124
I  0.4019  0.2272  0.0489
I  0.9020  0.7733  0.1109
I  0.5088  0.4912  0.7500
I  0.0980  0.2267  0.8891
I  0.7733  0.9020  0.6109
I  0.9961  0.4924  0.7195
I  0.4924  0.9961  0.2195
I  0.2267  0.0980  0.3891
I  0.2272  0.4019  0.5489
Bi  0.7034  0.3874  0.1559
Bi  0.2966  0.6126  0.8441
Bi  0.3874  0.7034  0.6559
Bi  0.6126  0.2966  0.3441

=====

No. 5
Computed, not measured: a PBEsol-optimized structure of K2LiBiI6 at the meta-GGA SCAN level of DFT.

## Properties
E_tot   -32.816 eV/atom
Formation energy without anion corrections   -1.0086 eV per atom
DOS at the Fermi energy   0.000 states/eV/atom
Crystal system   cubic

a b c (Å): 8.3524 8.3524 8.3524
angles (deg): 60.00 60.00 60.00
Positions (direct):
I  0.2562  0.7438  0.2562
I  0.7438  0.7438  0.2562
I  0.2562  0.7438  0.7438
I  0.2562  0.2562  0.7438
I  0.7438  0.2562  0.2562
I  0.7438  0.2562  0.7438
K  0.2500  0.2500  0.2500
K  0.7500  0.7500  0.7500
Bi  0.0000  0.0000  0.0000
Li  0.5000  0.5000  0.5000

=====

No. 6
Computed, not measured: a PBEsol-optimized structure of KBiI2N at the meta-GGA SCAN level of DFT.

## Properties
E_tot   -33.933 eV/atom
Formation energy without anion corrections   0.0040 eV per atom
DOS at the Fermi energy   0.605 states/eV/atom
Crystal system   tetragonal

a b c (Å): 4.2007 6.3672 6.3672
angles (deg): 90.00 90.00 90.00
Positions (direct):
I  0.0000  0.5000  0.0000
I  0.0000  0.0000  0.5000
N  0.5000  0.0000  0.0000
Bi  0.0000  0.0000  0.0000
K  0.5000  0.5000  0.5000

=====

No. 7
Computed, not measured: a PBEsol-optimized structure of KBiIN2 at the meta-GGA SCAN level of DFT.

## Properties
E_tot   -26.725 eV/atom
Formation energy without anion corrections   1.7210 eV per atom
DOS at the Fermi energy   1.062 states/eV/atom
Crystal system   tetragonal

a b c (Å): 4.9234 4.9234 6.3653
angles (deg): 90.00 90.00 90.00
Positions (direct):
N  0.5000  0.0000  0.0000
N  0.0000  0.5000  0.0000
Bi  0.5000  0.5000  0.5000
I  0.0000  0.0000  0.5000
K  0.0000  0.0000  0.0000

=====

No. 8
Computed, not measured: a PBEsol-optimized structure of K2NaBiI6 at the meta-GGA SCAN level of DFT.

## Properties
E_tot   -33.007 eV/atom
Formation energy without anion corrections   -1.0167 eV per atom
DOS at the Fermi energy   0.000 states/eV/atom
Crystal system   cubic

a b c (Å): 8.5808 8.5808 8.5808
angles (deg): 60.00 60.00 60.00
Positions (direct):
K  0.2500  0.2500  0.2500
K  0.7500  0.7500  0.7500
I  0.7507  0.2493  0.7507
I  0.2493  0.7507  0.7507
I  0.7507  0.2493  0.2493
I  0.2493  0.7507  0.2493
I  0.7507  0.7507  0.2493
I  0.2493  0.2493  0.7507
Na  0.5000  0.5000  0.5000
Bi  0.0000  0.0000  0.0000